Arrangement one

## Ca4Sb (PBE)

Data for a geometry-optimized Ca4Sb structure.

The structure in POSCAR format:
```
Ca4Sb
1.0
-3.684 3.684 3.684
3.684 -3.684 3.684
3.684 3.684 -3.684
Ca Sb
4 1
Direct
0.000 0.000 0.500
0.000 0.500 0.000
0.500 0.000 0.000
0.500 0.500 0.500
0.000 0.000 0.000
```

Output
Theoretical density, g/cm3: 2.34

---

Arrangement two

## Ca4Sb (PBE)

Data for a geometry-optimized Ca4Sb structure.

The structure in POSCAR format:
```
Ca4Sb
1.0
6.026 0.000 0.000
0.000 6.026 0.000
0.000 0.000 6.026
Ca Sb
4 1
Direct
0.000 0.000 0.000
0.000 0.500 0.500
0.500 0.000 0.500
0.500 0.500 0.000
0.500 0.500 0.500
```

Output
Theoretical density, g/cm3: 2.14

---

Least stable = arrangement one

---

Arrangement one

## Ca3ScSb (PBE)

Data for a geometry-optimized Ca3ScSb structure.

The structure in POSCAR format:
```
Ca3ScSb
1.0
5.904 0.000 0.000
0.000 5.904 0.000
0.000 0.000 5.904
Ca Sc Sb
3 1 1
Direct
0.000 0.000 0.500
0.000 0.500 0.000
0.500 0.000 0.000
0.500 0.500 0.500
0.000 0.000 0.000
```

Output
Theoretical density, g/cm3: 2.31

---

Arrangement two

## Ca3ScSb (PBE)

Data for a geometry-optimized Ca3ScSb structure.

The structure in POSCAR format:
```
Ca3ScSb
1.0
5.781 0.000 0.000
0.000 5.781 0.000
0.000 0.000 5.781
Ca Sc Sb
3 1 1
Direct
0.000 0.000 0.500
0.000 0.500 0.000
0.500 0.000 0.000
0.000 0.000 0.000
0.500 0.500 0.500
```

Output
Theoretical density, g/cm3: 2.47

---

Least stable = arrangement two

---

Arrangement one

## SrCaSc2Sb (PBE)

Data for a geometry-optimized SrCaSc2Sb structure.

The structure in POSCAR format:
```
SrCaSc2Sb
1.0
5.550 0.000 0.000
0.000 5.550 0.000
0.000 0.000 6.217
Sr Ca Sc Sb
1 1 2 1
Direct
0.000 0.000 0.000
0.500 0.500 0.000
0.000 0.500 0.500
0.500 0.000 0.500
0.000 0.000 0.500
```

Output
Theoretical density, g/cm3: 2.94

---

Arrangement two

## SrCaSc2Sb (PBE)

Data for a geometry-optimized SrCaSc2Sb structure.

The structure in POSCAR format:
```
SrCaSc2Sb
1.0
5.316 0.000 0.000
0.000 5.316 0.000
0.000 0.000 5.761
Sr Ca Sc Sb
1 1 2 1
Direct
0.000 0.000 0.000
0.000 0.000 0.500
0.000 0.500 0.500
0.500 0.000 0.500
0.500 0.500 0.000
```

Output
Theoretical density, g/cm3: 3.46

---

Least stable = arrangement two

---

Arrangement one

## Ca2SbSe (PBE)

Data for a geometry-optimized Ca2SbSe structure.

The structure in POSCAR format:
```
Ca2SbSe
1.0
3.892 -3.892 0.000
3.892 3.892 0.000
-0.008 0.000 3.565
Ca Sb Se
2 1 1
Direct
0.000 0.500 0.000
0.500 0.000 0.000
0.000 0.000 0.500
0.500 0.500 0.500
```

Output
Theoretical density, g/cm3: 4.32

---

Arrangement two

## Ca2SbSe (PBE)

Data for a geometry-optimized Ca2SbSe structure.

The structure in POSCAR format:
```
Ca2SbSe
1.0
3.551 -2.101 0.000
3.551 2.101 0.000
-2.457 0.000 7.806
Ca Sb Se
2 1 1
Direct
0.242 0.242 0.222
0.758 0.758 0.778
0.000 0.000 0.500
0.500 0.500 0.000
```

Output
Theoretical density, g/cm3: 4.00

---

Arrangement three

## Ca2SbSe (PBE)

Data for a geometry-optimized Ca2SbSe structure.

The structure in POSCAR format:
```
Ca2SbSe
1.0
-4.034 4.034 3.697
4.034 -4.034 3.697
4.034 4.034 -3.697
Ca Sb Se
4 2 2
Direct
0.098 0.625 0.973
0.375 0.348 0.473
0.652 0.125 0.027
0.875 0.902 0.527
0.250 0.750 0.500
0.500 0.500 0.000
0.000 0.000 0.000
0.750 0.250 0.500
```

Output
Theoretical density, g/cm3: 3.88

---

Arrangement four

## Ca2SbSe (PBE)

Data for a geometry-optimized Ca2SbSe structure.

The structure in POSCAR format:
```
Ca2SbSe
1.0
5.102 0.000 0.000
0.000 1.822 6.107
0.000 -1.822 6.107
Ca Sb Se
2 1 1
Direct
0.000 0.000 0.000
0.500 0.253 0.253
0.500 0.517 0.517
0.000 0.760 0.760
```

Output
Theoretical density, g/cm3: 4.11

---

Least stable = arrangement three

---

Arrangement one

## Ca2SbSe (PBE)

Data for a geometry-optimized Ca2SbSe structure.

The structure in POSCAR format:
```
Ca2SbSe
1.0
0.000 3.793 3.793
3.793 0.000 3.793
3.793 3.793 0.000
Ca Sb Se
2 1 1
Direct
0.250 0.250 0.250
0.750 0.750 0.750
0.000 0.000 0.000
0.500 0.500 0.500
```

Output
Theoretical density, g/cm3: 4.27

---

Arrangement two

## Ca2SbSe (PBE)

Data for a geometry-optimized Ca2SbSe structure.

The structure in POSCAR format:
```
Ca2SbSe
1.0
2.525 -2.649 0.000
2.525 2.649 0.000
0.000 0.000 7.951
Ca Sb Se
2 1 1
Direct
0.000 0.000 0.226
0.000 0.000 0.774
0.500 0.500 0.500
0.500 0.500 0.000
```

Output
Theoretical density, g/cm3: 4.39

---

Least stable = arrangement one

---

Arrangement one

## Ca2SbSe (PBE)

Data for a geometry-optimized Ca2SbSe structure.

The structure in POSCAR format:
```
Ca2SbSe
1.0
3.997 0.000 0.000
0.000 4.731 0.000
0.000 0.000 6.261
Ca Sb Se
2 1 1
Direct
0.000 0.000 0.000
0.500 0.500 0.499
0.000 0.000 0.500
0.500 0.500 0.000
```

Output
Theoretical density, g/cm3: 3.94

---

Arrangement two

## Ca2SbSe (PBE)

Data for a geometry-optimized Ca2SbSe structure.

The structure in POSCAR format:
```
Ca2SbSe
1.0
0.000 3.804 3.804
3.804 0.000 3.804
3.804 3.804 0.000
Ca Sb Se
2 1 1
Direct
0.000 0.000 0.000
0.250 0.250 0.250
0.500 0.500 0.500
0.750 0.750 0.750
```

Output
Theoretical density, g/cm3: 4.24

---

Least stable = arrangement two

---

Arrangement one

## CaSb2TeSe (PBE)

Data for a geometry-optimized CaSb2TeSe structure.

The structure in POSCAR format:
```
CaSb2TeSe
1.0
5.437 0.000 0.000
0.000 5.437 0.000
0.000 0.000 5.535
Ca Sb Te Se
1 2 1 1
Direct
0.000 0.000 0.000
0.000 0.500 0.500
0.500 0.000 0.500
0.500 0.500 0.000
0.500 0.500 0.500
```

Output
Theoretical density, g/cm3: 4.97

---

Arrangement two

## CaSb2TeSe (PBE)

Data for a geometry-optimized CaSb2TeSe structure.

The structure in POSCAR format:
```
CaSb2TeSe
1.0
5.829 0.000 0.000
0.000 5.829 0.000
0.000 0.000 5.564
Ca Sb Te Se
1 2 1 1
Direct
0.000 0.000 0.000
0.000 0.500 0.000
0.500 0.000 0.000
0.000 0.000 0.500
0.500 0.500 0.500
```

Output
Theoretical density, g/cm3: 4.30

---

Least stable = arrangement two

---

Arrangement one

## CaSiSb3 (PBE)

Data for a geometry-optimized CaSiSb3 structure.

The structure in POSCAR format:
```
CaSiSb3
1.0
5.657 0.000 0.000
0.000 5.657 0.000
0.000 0.000 5.657
Ca Si Sb
1 1 3
Direct
0.000 0.000 0.000
0.500 0.500 0.500
0.000 0.000 0.500
0.000 0.500 0.000
0.500 0.000 0.000
```

Output
Theoretical density, g/cm3: 3.98

---

Arrangement two

## CaSiSb3 (PBE)

Data for a geometry-optimized CaSiSb3 structure.

The structure in POSCAR format:
```
CaSiSb3
1.0
5.298 0.000 0.000
0.000 5.298 0.000
0.000 0.000 5.298
Ca Si Sb
1 1 3
Direct
0.000 0.000 0.000
0.500 0.500 0.500
0.000 0.500 0.500
0.500 0.000 0.500
0.500 0.500 0.000
```

Output
Theoretical density, g/cm3: 4.84

---

Least stable = arrangement one

---

Arrangement one

## CaSm3Sb3 (PBE)

Data for a geometry-optimized CaSm3Sb3 structure.

The structure in POSCAR format:
```
CaSm3Sb3
1.0
9.424 0.000 0.000
0.000 9.424 0.000
0.000 0.000 9.424
Ca Sm Sb
4 12 12
Direct
0.071 0.429 0.571
0.429 0.571 0.071
0.571 0.071 0.429
0.929 0.929 0.929
0.073 0.573 0.927
0.178 0.178 0.178
0.181 0.819 0.319
0.319 0.181 0.819
0.322 0.822 0.678
0.427 0.427 0.427
0.573 0.927 0.073
0.678 0.322 0.822
0.681 0.681 0.681
0.819 0.319 0.181
0.822 0.678 0.322
0.927 0.073 0.573
0.001 0.751 0.622
0.122 0.499 0.249
0.249 0.122 0.499
0.251 0.878 0.999
0.378 0.501 0.749
0.499 0.249 0.122
0.501 0.749 0.378
0.622 0.001 0.751
0.749 0.378 0.501
0.751 0.622 0.001
0.878 0.999 0.251
0.999 0.251 0.878
```

Output
Theoretical density, g/cm3: 6.80

---

Arrangement two

## CaSm3Sb3 (PBE)

Data for a geometry-optimized CaSm3Sb3 structure.

The structure in POSCAR format:
```
CaSm3Sb3
1.0
4.615 2.664 6.262
-4.615 2.664 6.262
0.000 -5.329 6.262
Ca Sm Sb
2 6 6
Direct
0.167 0.167 0.167
0.833 0.833 0.833
0.147 0.685 0.408
0.315 0.592 0.853
0.408 0.147 0.685
0.592 0.853 0.315
0.685 0.408 0.147
0.853 0.315 0.592
0.036 0.426 0.796
0.204 0.964 0.574
0.426 0.796 0.036
0.574 0.204 0.964
0.796 0.036 0.426
0.964 0.574 0.204
```

Output
Theoretical density, g/cm3: 6.16

---

Least stable = arrangement two

---

Arrangement one

## Sr3CaSb (PBE)

Data for a geometry-optimized Sr3CaSb structure.

The structure in POSCAR format:
```
Sr3CaSb
1.0
6.391 0.000 0.000
0.000 6.391 0.000
0.000 0.000 6.391
Sr Ca Sb
3 1 1
Direct
0.000 0.000 0.500
0.000 0.500 0.000
0.500 0.000 0.000
0.500 0.500 0.500
0.000 0.000 0.000
```

Output
Theoretical density, g/cm3: 2.70

---

Arrangement two

## Sr3CaSb (PBE)

Data for a geometry-optimized Sr3CaSb structure.

The structure in POSCAR format:
```
Sr3CaSb
1.0
6.316 0.000 0.000
0.000 6.316 0.000
0.000 0.000 6.316
Sr Ca Sb
3 1 1
Direct
0.000 0.000 0.500
0.000 0.500 0.000
0.500 0.000 0.000
0.000 0.000 0.000
0.500 0.500 0.500
```

Output
Theoretical density, g/cm3: 2.80

---

Least stable = arrangement two

---

Arrangement one

## Sr3CaSb2 (PBE)

Data for a geometry-optimized Sr3CaSb2 structure.

The structure in POSCAR format:
```
Sr3CaSb2
1.0
-2.484 2.504 8.820
2.484 -2.504 8.820
2.484 2.504 -8.820
Sr Ca Sb
3 1 2
Direct
0.000 0.000 0.000
0.176 0.676 0.500
0.824 0.324 0.500
0.500 0.500 0.000
0.367 0.867 0.500
0.633 0.133 0.500
```

Output
Theoretical density, g/cm3: 4.13

---

Arrangement two

## Sr3CaSb2 (PBE)

Data for a geometry-optimized Sr3CaSb2 structure.

The structure in POSCAR format:
```
Sr3CaSb2
1.0
-3.491 8.951 3.482
3.491 -8.951 3.482
3.491 8.951 -3.482
Sr Ca Sb
6 2 4
Direct
0.178 0.745 0.923
0.250 0.250 0.000
0.322 0.245 0.567
0.678 0.755 0.433
0.750 0.750 0.000
0.822 0.255 0.077
0.250 0.750 0.500
0.750 0.250 0.500
0.131 0.256 0.388
0.369 0.756 0.125
0.631 0.244 0.875
0.869 0.744 0.612
```

Output
Theoretical density, g/cm3: 4.17

---

Least stable = arrangement two

---

Arrangement one

## Sr5CaSb4 (PBE)

Data for a geometry-optimized Sr5CaSb4 structure.

The structure in POSCAR format:
```
Sr5CaSb4
1.0
-2.460 5.541 6.834
2.460 -5.541 6.834
2.460 5.541 -6.834
Sr Ca Sb
5 1 4
Direct
0.000 0.000 0.000
0.147 0.841 0.306
0.465 0.159 0.306
0.535 0.841 0.694
0.853 0.159 0.694
0.500 0.500 0.000
0.219 0.500 0.719
0.264 0.264 0.000
0.736 0.736 0.000
0.781 0.500 0.281
```

Output
Theoretical density, g/cm3: 4.30

---

Arrangement two

## Sr5CaSb4 (PBE)

Data for a geometry-optimized Sr5CaSb4 structure.

The structure in POSCAR format:
```
Sr5CaSb4
1.0
9.155 -2.614 0.000
9.155 2.614 0.000
-0.699 0.000 8.223
Sr Ca Sb
5 1 4
Direct
0.000 0.000 0.000
0.334 0.334 0.003
0.345 0.345 0.523
0.655 0.655 0.477
0.666 0.666 0.997
0.000 0.000 0.500
0.190 0.190 0.244
0.477 0.477 0.260
0.523 0.523 0.740
0.810 0.810 0.756
```

Output
Theoretical density, g/cm3: 4.07

---

Least stable = arrangement one